This record from the Alexandria database describes a relaxed structure of Ag4BF7. The functional is PBE.

Unit cell a=4.460 b=7.546 c=6.104 alpha=75.54 beta=68.57 gamma=72.81
Fractional coordinates of all 12 atoms:
Ag: 0.536 0.205 0.530
Ag: 0.271 0.795 0.470
Ag: 0.942 0.491 0.757
Ag: 0.190 0.509 0.243
B: 0.902 0.000 0.000
F: 0.779 0.862 0.396
F: 0.037 0.138 0.604
F: 0.155 0.853 0.939
F: 0.947 0.147 0.061
F: 0.429 0.489 0.790
F: 0.602 0.000 0.000
F: 0.708 0.511 0.210

Computed properties:
total DFT energy (no corrections)	-49.61	eV/cell
E_form (uncorrected)	-1536	meV/atom
N(E_F)	0.24	states/eV/f.u.

=====

This record from the Alexandria database describes a relaxed structure of AgBF. The functional is PBE.

Unit cell a=2.929 b=2.929 c=10.290 alpha=90.18 beta=106.63 gamma=90.01
Fractional coordinates of all 6 atoms:
Ag: 0.123 0.749 0.374
Ag: 0.877 0.251 0.626
B: 0.513 0.248 0.264
B: 0.487 0.752 0.736
F: 0.622 0.754 0.870
F: 0.378 0.246 0.130

Computed properties:
total DFT energy (no corrections)	-26.43	eV/cell
E_form (uncorrected)	-605	meV/atom
N(E_F)	1.19	states/eV/f.u.

=====

What did the second record say?
This record from the Alexandria database describes a relaxed structure of AgBF. The functional is PBE.

Unit cell a=2.929 b=2.929 c=10.290 alpha=90.18 beta=106.63 gamma=90.01
Fractional coordinates of all 6 atoms:
Ag: 0.123 0.749 0.374
Ag: 0.877 0.251 0.626
B: 0.513 0.248 0.264
B: 0.487 0.752 0.736
F: 0.622 0.754 0.870
F: 0.378 0.246 0.130

Computed properties:
total DFT energy (no corrections)	-26.43	eV/cell
E_form (uncorrected)	-605	meV/atom
N(E_F)	1.19	states/eV/f.u.

=====

- Among the records above, which one has the highest total DFT energy (no corrections)?
  AgBF

=====

- Which of these has the highest total DFT energy (no corrections)?
  AgBF